No. 1
A PBEsol-optimized structure of Mg3Bi, computed with meta-GGA SCAN.

For the final energy, the calculation gives -23.44 eV per atom. As for the formation energy: -1.48 kcal/mol of atoms. As for the spin magnetization: 0.00 μB/f.u. The volume comes out at 99.3 Å³/f.u.

The space group is Fm-3m (No. 225) and the conventional cell measures 7.351, 7.351 and 7.351 Å, with angles of 90.00, 90.00 and 90.00 degrees. The inequivalent atoms are Mg at (0.000, 0.000, 0.000), Mg at (0.250, 0.250, 0.250) and Bi at (0.000, 0.000, 0.500).

No. 2
A PBEsol-optimized structure of Mg3Bi, computed with meta-GGA SCAN.

For the final energy, the calculation gives -23.50 eV per atom. As for the formation energy: -2.95 kcal/mol of atoms. As for the spin magnetization: 0.02 μB/f.u. The volume comes out at 96.1 Å³/f.u.

The space group is P6_3/mmc (No. 194) and the conventional cell measures 6.3846, 6.3846 and 5.4436 Å, with angles of 90.00, 90.00 and 120.00 degrees. The inequivalent atoms are Mg at (0.1637, 0.3274, 0.2500) and Bi at (0.3333, 0.6667, 0.7500).

No. 3
A PBEsol-optimized structure of MgMn3Bi, computed with meta-GGA SCAN.

For the final energy, the calculation gives -26.88 eV per atom. As for the formation energy: 18.02 kcal/mol of atoms. As for the spin magnetization: 11.86 μB/f.u. The volume comes out at 102.7 Å³/f.u.

The space group is Pm-3m (No. 221) and the conventional cell measures 4.683, 4.683 and 4.683 Å, with angles of 90.00, 90.00 and 90.00 degrees. The inequivalent atoms are Mg at (0.000, 0.000, 0.000), Mn at (0.000, 0.000, 0.500) and Bi at (0.500, 0.500, 0.500).

No. 4
A PBEsol-optimized structure of MgMnBiRu2, computed with meta-GGA SCAN.

For the final energy, the calculation gives -32.77 eV per atom. As for the formation energy: 35.16 kcal/mol of atoms. As for the spin magnetization: 4.12 μB/f.u. The volume comes out at 122.0 Å³/f.u.

The space group is P4/mmm (No. 123) and the conventional cell measures 4.921, 4.921 and 5.036 Å, with angles of 90.00, 90.00 and 90.00 degrees. The inequivalent atoms are Mg at (0.000, 0.000, 0.000), Mn at (0.500, 0.500, 0.000), Bi at (0.000, 0.000, 0.500) and Ru at (0.000, 0.500, 0.500).

No. 5
A PBEsol-optimized structure of MgBiMo3, computed with meta-GGA SCAN.

For the final energy, the calculation gives -35.64 eV per atom. As for the formation energy: 46.27 kcal/mol of atoms. As for the spin magnetization: 4.80 μB/f.u. The volume comes out at 100.1 Å³/f.u.

The space group is Pm-3m (No. 221) and the conventional cell measures 4.644, 4.644 and 4.644 Å, with angles of 90.00, 90.00 and 90.00 degrees. The inequivalent atoms are Mg at (0.000, 0.000, 0.000), Bi at (0.500, 0.500, 0.500) and Mo at (0.000, 0.000, 0.500).

No. 6
A PBEsol-optimized structure of MgBi2MoP, computed with meta-GGA SCAN.

For the final energy, the calculation gives -39.94 eV per atom. As for the formation energy: 35.62 kcal/mol of atoms. The energy above the most stable polymorph in this dataset comes out at 2.988 eV/f.u. As for the spin magnetization: 3.28 μB/f.u. The volume comes out at 134.4 Å³/f.u.

The space group is P4/mmm (No. 123) and the conventional cell measures 5.221, 5.221 and 4.931 Å, with angles of 90.00, 90.00 and 90.00 degrees. The inequivalent atoms are Mg at (0.000, 0.000, 0.000), Bi at (0.000, 0.500, 0.000), Mo at (0.000, 0.000, 0.500) and P at (0.500, 0.500, 0.500).